[1]
# MnIrPt2

Crystalline MnIrPt2 at its relaxed geometry (PBE, the Alexandria database).

Results
Density of states at the Fermi level in states/eV/cell: 4.06
Theoretical density in kg/m³: 18053
Calculated total energy in eV/atom: -7.671
Calculated formation energy in eV/f.u.: -0.57

abc: 2.7635 2.7635 7.6763
angles: 90.00 90.00 90.00
Last column: nearest neighbours and their distance in Å.
Positions (direct):
Ir (0.0000, 0.0000, 0.5206)  4 Mn 2.59, 4 Ir 2.76, 4 Pt 2.82
Mn (0.5000, 0.5000, 0.7416)  4 Ir 2.59, 4 Pt 2.68, 4 Mn 2.76
Pt (0.0000, 0.0000, 0.9814)  4 Mn 2.68, 8 Pt 2.76-2.88
Pt (0.5000, 0.5000, 0.2564)  8 Pt 2.76-2.88, 4 Ir 2.82

---

[2]
# DySiBRu2

Crystalline DySiBRu2 at its relaxed geometry (PBE, the Alexandria database).

Results
ΔE_f (raw) in eV per atom: -0.63
Density of states at the Fermi level in states/eV/cell: 10.29
Theoretical density in kg/m³: 8572
Calculated total energy in eV/atom: -7.679

abc: 3.9201 5.9018 7.1640
angles: 90.00 90.00 109.40
Last column: nearest neighbours and their distance in Å.
Positions (direct):
Dy (0.5500, 0.1000, 0.2500)  4 B 2.71
Dy (0.4500, 0.9000, 0.7500)  4 B 2.71
B (0.0000, 0.0000, 0.0000)  2 Ru 1.94
B (0.0000, 0.0000, 0.5000)  2 Ru 1.94
Si (0.2715, 0.5429, 0.2500)  6 Ru 2.47-2.49
Si (0.7285, 0.4571, 0.7500)  6 Ru 2.47-2.49
Ru (0.1703, 0.3405, 0.5596)  1 B 1.94
Ru (0.8297, 0.6595, 0.0596)  1 B 1.94
Ru (0.1703, 0.3405, 0.9404)  1 B 1.94
Ru (0.8297, 0.6595, 0.4404)  1 B 1.94

---

[3]
# Sc2CuPb2

Crystalline Sc2CuPb2 at its relaxed geometry (PBE, the Alexandria database).

Results
Density of states at the Fermi level in states/eV/cell: 7.32
Theoretical density in kg/m³: 8142
Calculated total energy in eV/atom: -4.989
Calculated formation energy in eV/f.u.: -0.77

abc: 7.2059 7.2059 4.4610
angles: 90.00 90.00 90.00
Last column: nearest neighbours and their distance in Å.
Positions (direct):
Pb (0.1494, 0.3506, 0.0000)  2 Cu 2.75, 2 Sc 2.94, 1 Pb 3.04
Pb (0.6494, 0.1494, 0.0000)  2 Cu 2.75, 2 Sc 2.94, 1 Pb 3.04
Pb (0.3506, 0.8506, 0.0000)  2 Cu 2.75, 2 Sc 2.94, 1 Pb 3.04
Pb (0.8506, 0.6494, 0.0000)  2 Cu 2.75, 2 Sc 2.94, 1 Pb 3.04
Cu (0.5000, 0.5000, 0.0000)  4 Pb 2.75
Cu (0.0000, 0.0000, 0.0000)  4 Pb 2.75
Sc (0.8366, 0.3366, 0.5000)  6 Pb 2.94-3.17
Sc (0.3366, 0.1634, 0.5000)  6 Pb 2.94-3.17
Sc (0.1634, 0.6634, 0.5000)  6 Pb 2.94-3.17
Sc (0.6634, 0.8366, 0.5000)  6 Pb 2.94-3.17

---

[4]
# PaHgSO6

Crystalline PaHgSO6 at its relaxed geometry (PBE, the Alexandria database).

Results
ΔE_f (raw) in eV per atom: -1.46
Density of states at the Fermi level in states/eV/cell: 3.12
Theoretical density in kg/m³: 6688
Calculated total energy in eV/atom: -6.315

abc: 5.3898 5.3898 5.5236
angles: 90.01 89.99 60.00
Last column: nearest neighbours and their distance in Å.
Positions (direct):
O (0.3472, 0.0683, 0.6757)  1 S 1.70
O (0.3473, 0.5844, 0.3243)  1 S 1.70
O (0.5845, 0.0682, 0.3243)  1 S 1.70
O (0.5844, 0.3473, 0.6757)  1 S 1.70
O (0.0682, 0.5846, 0.6757)  1 S 1.70
O (0.0683, 0.3472, 0.3243)  1 S 1.70
Hg (0.0000, 0.0000, 0.0000)  6 O 2.74-2.75
Pa (0.6666, 0.6667, 0.5000)  6 O 2.21
S (0.3333, 0.3334, 0.5000)  6 O 1.70

---

[5]
# LiLaRe2

Crystalline LiLaRe2 at its relaxed geometry (PBE, the Alexandria database).

Results
Density of states at the Fermi level in states/eV/cell: 2.60
Theoretical density in kg/m³: 11284
Calculated total energy in eV/atom: -7.586
Calculated formation energy in eV/f.u.: 1.39

abc: 4.3052 2.9451 6.1526
angles: 77.87 90.00 90.00
Last column: nearest neighbours and their distance in Å.
Positions (direct):
La (0.0000, 0.5055, 0.4970)  3 Re 2.86-3.15, 2 La 2.95, 2 Li 3.08
Re (0.0000, 0.9457, 0.0366)  2 Re 2.52, 2 Li 2.69
Re (0.5000, 0.2275, 0.1738)  2 Re 2.52, 1 Li 2.61
Li (0.5000, 0.8213, 0.7926)  4 Re 2.61-2.85

---

[6]
# SrAcPb2S4

Crystalline SrAcPb2S4 at its relaxed geometry (PBE, the Alexandria database).

Results
ΔE_f (raw) in eV per atom: -1.28
Density of states at the Fermi level in states/eV/cell: 3.48
Theoretical density in kg/m³: 6157
Calculated total energy in eV/atom: -4.990

abc: 6.0315 6.0315 7.6540
angles: 113.21 113.21 89.99
Last column: nearest neighbours and their distance in Å.
Positions (direct):
Pb (0.2500, 0.7500, 0.5000)  6 S 3.02-3.38
Pb (0.0000, 0.0000, 0.0000)  6 S 3.02-3.32
Sr (0.5000, 0.5000, 0.0000)  6 S 3.02-3.03
Ac (0.7500, 0.2500, 0.5000)  6 S 2.98-3.02
S (0.7387, 0.7387, 0.4775)  3 Pb 3.02-3.32, 2 Ac 3.02, 1 Sr 3.03
S (0.9843, 0.4843, 0.9686)  1 Ac 2.98, 2 Sr 3.02, 2 Pb 3.02
S (0.2613, 0.2613, 0.5225)  2 Ac 3.02, 3 Pb 3.02-3.32, 1 Sr 3.03
S (0.5157, 0.0157, 0.0314)  1 Ac 2.98, 2 Pb 3.02, 2 Sr 3.02